Material: TiIn2Pd9
Method: DFT, PBE-GGA
State: optimized geometry

Output
The calculation puts the raw total energy at -0.4064 Ry per atom. As for the spin magnetization: 0.00 μB/cell. Its density of states at the Fermi level is 9.49 states/eV/f.u. For the formation energy, the calculation gives -0.52 eV/atom.

```
data_TiIn2Pd9
_cell_length_a 4.001
_cell_length_b 4.001
_cell_length_c 12.012
_cell_angle_alpha 90.00
_cell_angle_beta 90.00
_cell_angle_gamma 90.00
_symmetry_space_group_name_H-M 'P 4/m m m'
_symmetry_Int_Tables_number 123
_symmetry_space_group_name_Hall '-P 4 2'
loop_
_atom_site_label
_atom_site_fract_x
_atom_site_fract_y
_atom_site_fract_z
_atom_site_occupancy
Ti1 0.000 0.000 0.000 1
In1 0.000 0.000 0.332 1
Pd1 0.000 0.500 0.157 1
Pd2 0.000 0.500 0.500 1
Pd3 0.500 0.500 0.000 1
Pd4 0.500 0.500 0.328 1
```